The following is a PBE calculation of a relaxed LiAc2CrN4 crystal, from Alexandria via LeMat-Bulk.

Geometry as POSCAR:
```
LiAc2CrN4
1.0
0.000 5.511 9.528
2.232 0.000 9.528
2.232 5.511 0.000
Li Ac Cr N
2 4 2 8
direct
0.125 0.125 0.125
0.875 0.875 0.875
0.049 0.049 0.701
0.299 0.299 0.951
0.701 0.701 0.049
0.951 0.951 0.299
0.375 0.375 0.375
0.625 0.625 0.625
0.008 0.341 0.446
0.296 0.554 0.659
0.341 0.008 0.704
0.446 0.704 0.008
0.554 0.296 0.992
0.659 0.992 0.296
0.704 0.446 0.341
0.992 0.659 0.554
```

Values from the calculation:
crystal system	orthorhombic
calculated total energy	-7.364	eV/atom
D(E_F)	6.29	states/eV per cell
E_form (uncorrected)	-0.732	eV per atom